# 1
Below is an optimized crystal structure of La4TmIn5, with properties calculated at the PBE level.

Cell lengths 3.8486, 3.8486, 20.1243 Å; angles 90.00, 90.00, 90.00 degrees
Last column: nearest neighbours and their distance in Å.
Space group P4/mmm (No. 123)
One atom of each set of equivalent atoms:
La 0.0000 0.0000 0.1032 (multiplicity 2)  8 In 3.42-3.43
La 0.0000 0.0000 0.3097 (multiplicity 2)  8 In 3.42-3.44
Tm 0.0000 0.0000 0.5000 (multiplicity 1)  8 In 3.22
In 0.5000 0.5000 0.0000 (multiplicity 1)  8 La 3.42
In 0.5000 0.5000 0.2067 (multiplicity 2)  8 La 3.42-3.43
In 0.5000 0.5000 0.4143 (multiplicity 2)  4 Tm 3.22, 4 La 3.44, 1 In 3.45

Values from the calculation:
ΔH_f (0 K) ... -502 meV/atom


# 2
Below is an optimized crystal structure of ZrNbGa3, with properties calculated at the PBE level.

Cell lengths 4.8551, 4.8551, 4.8551 Å; angles 90.00, 90.00, 90.00 degrees
Last column: nearest neighbours and their distance in Å.
Space group Pm-3m (No. 221)
One atom of each set of equivalent atoms:
Zr 0.0000 0.0000 0.0000 (multiplicity 1)  12 Ga 3.43
Nb 0.5000 0.5000 0.5000 (multiplicity 1)  6 Ga 2.43
Ga 0.0000 0.5000 0.5000 (multiplicity 3)  2 Nb 2.43

Values from the calculation:
ΔH_f (0 K) ... 489 meV/atom
Energy above the lowest structure with this stoichiometry ... 626 meV per atom


# 3
Below is an optimized crystal structure of GaFeAu3, with properties calculated at the PBE level.

Cell lengths 4.8087, 4.8087, 4.8087 Å; angles 90.00, 90.00, 90.00 degrees
Last column: nearest neighbours and their distance in Å.
Space group Pm-3m (No. 221)
One atom of each set of equivalent atoms:
Ga 0.0000 0.0000 0.0000 (multiplicity 1)  6 Au 2.40
Fe 0.5000 0.5000 0.5000 (multiplicity 1)  12 Au 3.40
Au 0.0000 0.0000 0.5000 (multiplicity 3)  2 Ga 2.40

Values from the calculation:
ΔH_f (0 K) ... 753 meV/atom
Energy above the lowest structure with this stoichiometry ... 154 meV per atom


# 4
Below is an optimized crystal structure of K2NbCu, with properties calculated at the PBE level.

Cell lengths 12.0666, 12.0666, 5.0527 Å; angles 90.00, 90.00, 90.00 degrees
Last column: nearest neighbours and their distance in Å.
Space group I-42d (No. 122)
One atom of each set of equivalent atoms:
K 0.0945 0.2500 0.1250 (multiplicity 8)  2 Cu 3.29
Nb 0.0000 0.0000 0.5000 (multiplicity 4)  2 Cu 2.53
Cu 0.0000 0.0000 0.0000 (multiplicity 4)  2 Nb 2.53

Values from the calculation:
ΔH_f (0 K) ... 1205 meV/atom
Energy above the lowest structure with this stoichiometry ... 0 meV per atom


# 5
Below is an optimized crystal structure of Li2MnCd, with properties calculated at the PBE level.

Cell lengths 4.1001, 4.1001, 4.0891 Å; angles 90.00, 90.00, 90.00 degrees
Last column: nearest neighbours and their distance in Å.
Space group P4/mmm (No. 123)
One atom of each set of equivalent atoms:
Li 0.0000 0.5000 0.0000 (multiplicity 2)  4 Cd 2.90, 4 Mn 2.90, 4 Li 2.90
Mn 0.0000 0.0000 0.5000 (multiplicity 1)  8 Li 2.90, 4 Cd 2.90
Cd 0.5000 0.5000 0.5000 (multiplicity 1)  8 Li 2.90, 4 Mn 2.90

Values from the calculation:
ΔH_f (0 K) ... 137 meV/atom


# 6
Below is an optimized crystal structure of InAgP2, with properties calculated at the PBE level.

Cell lengths 3.8107, 5.1550, 7.8272 Å; angles 90.00, 90.00, 90.00 degrees
Last column: nearest neighbours and their distance in Å.
Space group Immm (No. 71)
One atom of each set of equivalent atoms:
In 0.0000 0.0000 0.0000 (multiplicity 2)  4 P 2.75
Ag 0.0000 0.0000 0.5000 (multiplicity 2)  4 P 2.72
P 0.0000 0.5000 0.2474 (multiplicity 4)  2 Ag 2.72, 2 In 2.75

Values from the calculation:
ΔH_f (0 K) ... 470 meV/atom


# 7
Below is an optimized crystal structure of Sr2CdTc, with properties calculated at the PBE level.

Cell lengths 3.6198, 3.6431, 8.8286 Å; angles 90.00, 90.09, 90.00 degrees
Last column: nearest neighbours and their distance in Å.
Space group P2/m (No. 10)
One atom of each set of equivalent atoms:
Sr 0.0005 0.0000 0.2763 (multiplicity 2)  4 Tc 3.24, 4 Cd 3.54, 2 Sr 3.62
Cd 0.5000 0.5000 0.0000 (multiplicity 1)  8 Sr 3.54, 4 Cd 3.62-3.64
Tc 0.5000 0.5000 0.5000 (multiplicity 1)  8 Sr 3.24, 2 Tc 3.62

Values from the calculation:
ΔH_f (0 K) ... 467 meV/atom


# 8
Below is an optimized crystal structure of CaGa2Co2, with properties calculated at the PBE level.

Cell lengths 4.1107, 4.1107, 9.9633 Å; angles 90.00, 90.00, 90.00 degrees
Last column: nearest neighbours and their distance in Å.
Space group I4/mmm (No. 139)
One atom of each set of equivalent atoms:
Ca 0.0000 0.0000 0.0000 (multiplicity 2)  8 Ga 3.20, 8 Co 3.23
Ga 0.0000 0.0000 0.3647 (multiplicity 4)  4 Co 2.35
Co 0.0000 0.5000 0.2500 (multiplicity 4)  4 Ga 2.35

Values from the calculation:
ΔH_f (0 K) ... -266 meV/atom


# 9
Below is an optimized crystal structure of SrCa2Rh, with properties calculated at the PBE level.

Cell lengths 4.1881, 4.1881, 28.9746 Å; angles 90.00, 90.00, 120.00 degrees
Last column: nearest neighbours and their distance in Å.
Space group R-3m (No. 166, hexagonal axes)
One atom of each set of equivalent atoms:
Sr 0.0000 0.0000 0.0000 (multiplicity 3)  6 Ca 4.18, 6 Sr 4.19
Ca 0.0000 0.0000 0.2158 (multiplicity 6)  3 Rh 2.81
Rh 0.0000 0.0000 0.5000 (multiplicity 3)  6 Ca 2.81

Values from the calculation:
ΔH_f (0 K) ... -115 meV/atom
Energy above the lowest structure with this stoichiometry ... 172 meV per atom


# 10
Below is an optimized crystal structure of NbNiAs, with properties calculated at the PBE level.

Cell lengths 3.4430, 3.4430, 7.7530 Å; angles 90.00, 90.00, 90.00 degrees
Last column: nearest neighbours and their distance in Å.
Space group I4mm (No. 107)
One atom of each set of equivalent atoms:
Nb 0.0000 0.0000 0.0000 (multiplicity 2)  5 Ni 2.60-2.75, 5 As 2.62-2.74
Ni 0.0000 0.0000 0.3359 (multiplicity 2)  5 As 2.53-2.78, 5 Nb 2.60-2.75
As 0.0000 0.0000 0.6621 (multiplicity 2)  5 Ni 2.53-2.78, 5 Nb 2.62-2.74

Values from the calculation:
ΔH_f (0 K) ... -157 meV/atom


# 11
Below is an optimized crystal structure of Cs2SmPbO4, with properties calculated at the PBE level.

Cell lengths 9.2627, 9.5564, 6.5526 Å; angles 90.00, 134.96, 90.00 degrees
Last column: nearest neighbours and their distance in Å.
Space group C2 (No. 5)
One atom of each set of equivalent atoms:
Cs 0.0000 0.0000 0.0000 (multiplicity 2)  4 O 3.11
Cs 0.0000 0.2500 0.5000 (multiplicity 2)  4 O 3.08
Sm 0.0000 0.4997 0.0000 (multiplicity 2)  4 O 2.22
Pb 0.0000 0.7498 0.5000 (multiplicity 2)  4 O 2.25-2.26
O 0.1436 0.6245 0.3898 (multiplicity 4)  1 Sm 2.22, 1 Pb 2.25
O 0.2459 0.3746 0.1022 (multiplicity 4)  1 Sm 2.22, 1 Pb 2.26

Values from the calculation:
ΔE_f (raw) ... -1.780 eV/atom


# 12
Below is an optimized crystal structure of SmY5Tm5, with properties calculated at the PBE level.

Cell lengths 18.8277, 5.8711, 6.9242 Å; angles 90.00, 111.22, 90.00 degrees
Last column: nearest neighbours and their distance in Å.
Space group C2/m (No. 12)
One atom of each set of equivalent atoms:
Sm 0.0000 0.0000 0.0000 (multiplicity 2)  2 Y 2.94
Y 0.0000 0.5000 0.0000 (multiplicity 2)  2 Sm 2.94, 2 Tm 2.96
Y 0.1798 0.0000 0.4263 (multiplicity 4)  5 Tm 3.19-3.57, 2 Y 3.41-3.51
Y 0.1796 0.0000 0.9337 (multiplicity 4)  5 Tm 3.19-3.56, 2 Y 3.41-3.51, 1 Sm 3.57
Tm 0.0000 0.0000 0.5000 (multiplicity 2)  2 Sm 3.46, 4 Y 3.60-3.62, 4 Tm 3.65
Tm 0.1232 0.5000 0.6252 (multiplicity 4)  4 Tm 3.55-3.65, 6 Y 3.56-3.86
Tm 0.1684 0.5000 0.1701 (multiplicity 4)  3 Y 2.96-3.19

Values from the calculation:
ΔH_f (0 K) ... 286 meV/atom


# 13
Below is an optimized crystal structure of CoPdPt5, with properties calculated at the PBE level.

Cell lengths 3.8910, 3.8910, 7.3292 Å; angles 90.00, 90.00, 90.00 degrees
Last column: nearest neighbours and their distance in Å.
Space group P4/mmm (No. 123)
One atom of each set of equivalent atoms:
Co 0.0000 0.0000 0.0000 (multiplicity 1)  8 Pt 2.52
Pd 0.0000 0.0000 0.5000 (multiplicity 1)  12 Pt 2.75-2.84
Pt 0.0000 0.5000 0.2186 (multiplicity 4)  2 Co 2.52, 4 Pt 2.75
Pt 0.5000 0.5000 0.5000 (multiplicity 1)  4 Pd 2.75, 8 Pt 2.84

Values from the calculation:
ΔH_f (0 K) ... 88 meV/atom
Energy above the lowest structure with this stoichiometry ... 0 meV per atom